A plane-wave DFT calculation with GGA-PBE was carried out for a geometry-optimized Be2TlZn structure. Values from VASP.

Quantum ESPRESSO input file:
```
&SYSTEM
  ibrav = 0, nat = 4, ntyp = 3
/
ATOMIC_SPECIES
Tl 204.38 Tl.upf
Be 9.01 Be.upf
Zn 65.41 Zn.upf
CELL_PARAMETERS angstrom
-4.1130 -2.2180 0.6538
0.3826 -4.2165 -2.0828
2.8391 2.1192 3.1164
ATOMIC_POSITIONS angstrom
Tl 0.6783 -2.6573 0.1595
Be -1.8652 -3.2172 -0.7145
Be 0.0000 0.0000 0.0000
Zn -1.5695 -1.6580 1.5279
```

Properties
The density of states at the Fermi level is 0.81 states/eV per cell. Its crystal system is tetragonal. The formation energy is 2.60 eV/f.u. As for the energy relative to the lowest polymorph listed for this composition: 359 meV/atom. Its space group is I4/mmm, No. 139. The value obtained for the total energy is -8.49 eV per cell.

A plane-wave DFT calculation with GGA-PBE was carried out for a geometry-optimized V6ReRu structure. Values from VASP.

Quantum ESPRESSO input file:
```
&SYSTEM
  ibrav = 0, nat = 8, ntyp = 3
/
ATOMIC_SPECIES
V 50.94 V.upf
Ru 101.07 Ru.upf
Re 186.21 Re.upf
CELL_PARAMETERS angstrom
-0.9708 -0.3950 -4.1124
4.9126 -1.3961 -1.0256
-2.8348 -4.2356 1.0760
ATOMIC_POSITIONS angstrom
V 1.5608 -4.2305 0.0379
V -0.9052 -3.5284 0.5526
V 0.5170 -1.4012 0.0125
V -1.9028 -2.3153 -1.5182
V 1.9709 -0.8955 -2.5690
V 2.9829 -2.1033 -0.5022
Ru 0.5535 -3.0133 -2.0310
Re -0.4854 -0.1975 -2.0562
```

Properties
The density of states at the Fermi level is 6.29 states/eV per cell. Its crystal system is orthorhombic. The formation energy is -2.23 eV/f.u. Its space group is Cmmm, No. 65. The value obtained for the total energy is -78.67 eV per cell.

A plane-wave DFT calculation with GGA-PBE was carried out for a geometry-optimized KBaPb2 structure. Values from VASP.

Quantum ESPRESSO input file:
```
&SYSTEM
  ibrav = 0, nat = 4, ntyp = 3
/
ATOMIC_SPECIES
Ba 137.33 Ba.upf
Pb 207.20 Pb.upf
K 39.10 K.upf
CELL_PARAMETERS angstrom
-2.3224 1.4687 -5.7505
3.7421 -3.0472 -4.1629
-3.0413 -2.2869 5.1126
ATOMIC_POSITIONS angstrom
Ba 0.7099 -0.7893 -4.9567
Pb 0.0000 0.0000 0.0000
Pb 0.7053 -3.0617 -2.0035
K -2.3269 -0.8037 -2.7973
```

Properties
The density of states at the Fermi level is 2.35 states/eV per cell. Its crystal system is tetragonal. The formation energy is -0.95 eV/f.u. As for the energy relative to the lowest polymorph listed for this composition: 141 meV/atom. Its space group is I-4m2, No. 119. The value obtained for the total energy is -11.38 eV per cell.

A plane-wave DFT calculation with GGA-PBE was carried out for a geometry-optimized YMo2Pt structure. Values from VASP.

Quantum ESPRESSO input file:
```
&SYSTEM
  ibrav = 0, nat = 4, ntyp = 3
/
ATOMIC_SPECIES
Y 88.91 Y.upf
Mo 95.94 Mo.upf
Pt 195.08 Pt.upf
CELL_PARAMETERS angstrom
-1.7246 2.9032 -1.9225
-2.7843 0.1385 2.7069
2.6285 3.2419 2.5377
ATOMIC_POSITIONS angstrom
Y -0.0779 1.6902 2.6223
Mo -2.2545 1.5209 0.3922
Mo 0.0000 0.0000 0.0000
Pt 0.4519 3.0726 0.3076
```

Properties
The density of states at the Fermi level is 3.85 states/eV per cell. Its crystal system is tetragonal. The formation energy is -0.09 eV/f.u. As for the energy relative to the lowest polymorph listed for this composition: 115 meV/atom. Its space group is P4/mmm, No. 123. The value obtained for the total energy is -34.25 eV per cell.

A plane-wave DFT calculation with GGA-PBE was carried out for a geometry-optimized SiTcOs structure. Values from VASP.

Quantum ESPRESSO input file:
```
&SYSTEM
  ibrav = 0, nat = 3, ntyp = 3
/
ATOMIC_SPECIES
Si 28.09 Si.upf
Os 190.23 Os.upf
Tc 98.00 Tc.upf
CELL_PARAMETERS angstrom
-1.5164 0.9570 4.8699
1.0854 -2.2167 4.5651
1.8070 1.9111 -4.4738
ATOMIC_POSITIONS angstrom
Si -0.1442 -0.4214 3.1562
Os -0.4249 -1.2416 9.2995
Tc -0.2931 -0.8564 6.4144
```

Properties
For the energy relative to the elements, uncorrected, the calculation gives -0.269 eV per atom. The density of states at the Fermi level is 2.25 states/eV per cell. Its crystal system is tetragonal. As for the energy relative to the lowest polymorph listed for this composition: 0 meV/atom. Its space group is I4mm, No. 107. The value obtained for the total energy is -27.83 eV per cell.

A plane-wave DFT calculation with GGA-PBE was carried out for a geometry-optimized Ac4HIrBr2 structure. Values from VASP.

Quantum ESPRESSO input file:
```
&SYSTEM
  ibrav = 0, nat = 8, ntyp = 4
/
ATOMIC_SPECIES
H 1.01 H.upf
Br 79.90 Br.upf
Ac 227.00 Ac.upf
Ir 192.22 Ir.upf
CELL_PARAMETERS angstrom
-2.9367 -2.4504 -1.9557
-0.0575 -4.4663 5.6825
-5.9970 5.9437 1.5580
ATOMIC_POSITIONS angstrom
H 0.0000 0.0000 0.0000
Br -3.0272 0.7387 3.6203
Br -4.4669 1.7467 -0.1988
Ac -6.3037 0.1058 4.6154
Ac -1.1847 -2.1800 4.5105
Ac -4.8698 3.6574 2.7300
Ac -2.6875 -1.0788 0.6694
Ir -1.4971 -3.4584 1.8634
```

Properties
The density of states at the Fermi level is 6.74 states/eV per cell. Its crystal system is monoclinic. Its space group is P2/m, No. 10. The value obtained for the total energy is -39.41 eV per cell.

Number 4 is which compound? YMo2Pt